Entry 1:
The following is a DFT calculation (GGA-PBE) of an optimized crystal structure of DyPuInCu.

Calculated values
**Space-group type**: F-43m, No. 216
**Energy of formation from the pure elements**: -82 meV per atom
**Theoretical density**: 9.900 g cm⁻³
**D(E_F)**: 2.368 states/eV per atom

Lattice parameters (Å, degrees): 5.177 5.177 5.177 60.00 60.00 60.00
Last column: magnetic moment on the atom in μB.
Positions (direct):
Cu: 0.750 0.750 0.750  0.02
In: 0.250 0.250 0.250  -0.02
Dy: 0.500 0.500 0.500  0.12
Pu: 0.000 0.000 0.000  5.35

---

Entry 2:
The following is a DFT calculation (GGA-PBE) of an optimized crystal structure of Dy2InCu2Rh5.

Calculated values
**Space-group type**: P4/mbm, No. 127
**Energy of formation from the pure elements**: -492 meV per atom
**Theoretical density**: 10.624 g cm⁻³
**D(E_F)**: 1.021 states/eV per atom

Lattice parameters (Å, degrees): 3.873 9.342 9.342 90.00 90.00 90.00
Positions (direct):
Rh: 0.500 0.209 0.071
Rh: 0.500 0.429 0.291
Rh: 0.500 0.929 0.209
Rh: 0.500 0.571 0.709
Rh: 0.500 0.791 0.929
Rh: 0.500 0.291 0.571
Rh: 0.500 0.709 0.429
Rh: 0.500 0.071 0.791
Rh: 0.500 0.500 0.000
Rh: 0.500 0.000 0.500
Cu: 0.000 0.121 0.621
Cu: 0.000 0.879 0.379
Cu: 0.000 0.621 0.879
Cu: 0.000 0.379 0.121
In: 0.000 0.000 0.000
In: 0.000 0.500 0.500
Dy: 0.000 0.675 0.175
Dy: 0.000 0.325 0.825
Dy: 0.000 0.825 0.675
Dy: 0.000 0.175 0.325

---

Entry 3:
The following is a DFT calculation (GGA-PBE) of an optimized crystal structure of DyInCuRu.

Calculated values
**Space-group type**: F-43m, No. 216
**Energy of formation from the pure elements**: -181 meV per atom
**Theoretical density**: 9.911 g cm⁻³
**D(E_F)**: 0.713 states/eV per atom

Lattice parameters (Å, degrees): 4.713 4.713 4.713 60.00 60.00 60.00
Positions (direct):
Dy: 0.500 0.500 0.500
Cu: 0.250 0.250 0.250
Ru: 0.750 0.750 0.750
In: 0.000 0.000 0.000

---

Entry 4:
The following is a DFT calculation (GGA-PBE) of an optimized crystal structure of Dy2InCuS4.

Calculated values
**Formation energy without anion corrections**: -1.408 eV/atom
**Space-group type**: Cmcm, No. 63
**Theoretical density**: 5.712 g cm⁻³

Lattice parameters (Å, degrees): 3.943 7.057 13.746 90.00 90.00 106.22
Positions (direct):
In: 0.893 0.787 0.250
In: 0.107 0.213 0.750
Dy: 0.366 0.732 0.563
Dy: 0.634 0.268 0.437
Dy: 0.366 0.732 0.937
Dy: 0.634 0.268 0.063
Cu: 0.835 0.669 0.750
Cu: 0.165 0.331 0.250
S: 0.569 0.139 0.250
S: 0.263 0.526 0.390
S: 0.737 0.474 0.610
S: 0.000 0.000 0.000
S: 0.000 0.000 0.500
S: 0.737 0.474 0.890
S: 0.431 0.861 0.750
S: 0.263 0.526 0.110

---

Entry 5:
The following is a DFT calculation (GGA-PBE) of an optimized crystal structure of DyScInCu.

Calculated values
**Space-group type**: F-43m, No. 216
**Energy of formation from the pure elements**: -303 meV per atom
**Theoretical density**: 7.188 g cm⁻³
**D(E_F)**: 0.841 states/eV per atom

Lattice parameters (Å, degrees): 5.014 5.014 5.014 60.00 60.00 60.00
Positions (direct):
In: 0.750 0.750 0.750
Dy: 0.000 0.000 0.000
Cu: 0.250 0.250 0.250
Sc: 0.500 0.500 0.500

---

Entry 6:
The following is a DFT calculation (GGA-PBE) of an optimized crystal structure of Dy2InCuSe4.

Calculated values
**Formation energy without anion corrections**: -1.271 eV/atom
**Space-group type**: Cmcm, No. 63
**Theoretical density**: 6.596 g cm⁻³

Lattice parameters (Å, degrees): 4.092 7.322 14.337 90.00 90.00 106.23
Positions (direct):
Se: 0.266 0.532 0.388
Se: 0.734 0.468 0.888
Se: 0.000 0.000 0.000
Se: 0.562 0.124 0.250
Se: 0.266 0.532 0.112
Se: 0.000 0.000 0.500
Se: 0.438 0.876 0.750
Se: 0.734 0.468 0.612
Dy: 0.634 0.268 0.435
Dy: 0.366 0.732 0.935
Dy: 0.634 0.268 0.065
Dy: 0.366 0.732 0.565
In: 0.112 0.225 0.750
In: 0.888 0.775 0.250
Cu: 0.840 0.679 0.750
Cu: 0.160 0.321 0.250

---

Entry 7:
The following is a DFT calculation (GGA-PBE) of an optimized crystal structure of DyIn4CuSe8.

Calculated values
**Formation energy without anion corrections**: -0.692 eV/atom
**Space-group type**: R3m, No. 160
**Theoretical density**: 5.807 g cm⁻³
**D(E_F)**: 0.499 states/eV per atom

Lattice parameters (Å, degrees): 8.136 8.136 8.076 59.75 59.75 60.00
Positions (direct):
Se: 0.760 0.760 0.721
Se: 0.757 0.757 0.262
Se: 0.254 0.748 0.743
Se: 0.757 0.223 0.262
Se: 0.247 0.247 0.258
Se: 0.254 0.254 0.743
Se: 0.748 0.254 0.743
Se: 0.223 0.757 0.262
Cu: 0.374 0.374 0.877
In: 0.006 0.006 0.509
In: 0.006 0.480 0.509
In: 0.623 0.623 0.132
In: 0.480 0.006 0.509
Dy: 0.010 0.010 0.970

---

Entry 8:
The following is a DFT calculation (GGA-PBE) of an optimized crystal structure of SmDyInCu.

Calculated values
**Space-group type**: F-43m, No. 216
**Energy of formation from the pure elements**: -290 meV per atom
**Theoretical density**: 8.126 g cm⁻³
**D(E_F)**: 0.996 states/eV per atom

Lattice parameters (Å, degrees): 5.217 5.217 5.217 60.00 60.00 60.00
Positions (direct):
Sm: 0.500 0.500 0.500
In: 0.750 0.750 0.750
Cu: 0.250 0.250 0.250
Dy: 0.000 0.000 0.000